VASP calculation (PBEsol) on a relaxed Sc2Ga2Tc crystal.

Values from the calculation:
**Calculated formation energy**: -430.9 meV per atom
**Space group**: P4/mbm
**Total magnetic moment**: 0.00 Bohr magnetons per cell

Cell lengths 6.815, 6.815, 3.700 Å; angles 90.00, 90.00, 90.00 degrees
Atoms (fractional coordinates):
Sc1 0.178 0.322 0.000
Sc2 0.322 0.822 0.000
Sc3 0.678 0.178 0.000
Sc4 0.822 0.678 0.000
Ga1 0.130 0.630 0.500
Ga2 0.370 0.130 0.500
Ga3 0.630 0.870 0.500
Ga4 0.870 0.370 0.500
Tc1 0.000 0.000 0.500
Tc2 0.500 0.500 0.500


VASP calculation (PBEsol) on a relaxed CaAs2Br crystal.

Values from the calculation:
**Formation energy from raw total energies**: -0.3846 eV/atom
**Energy relative to the lowest polymorph listed for this composition**: 29.7 kJ per mole of atoms
**Space group**: F-43m
**Total magnetic moment**: 0.00 Bohr magnetons per cell

Cell lengths 5.039, 5.039, 5.039 Å; angles 60.00, 60.00, 60.00 degrees
Atoms (fractional coordinates):
Ca1 0.000 0.000 0.000
As1 0.500 0.500 0.500
As2 0.750 0.750 0.750
Br1 0.250 0.250 0.250


VASP calculation (PBEsol) on a relaxed TaCr2Ru crystal.

Values from the calculation:
**Calculated formation energy**: 27.2 meV per atom
**Energy relative to the lowest polymorph listed for this composition**: 0.0 kJ per mole of atoms
**Space group**: Imm2
**Total magnetic moment**: 0.00 Bohr magnetons per cell

Cell lengths 4.931, 4.931, 4.931 Å; angles 145.02, 128.25, 63.99 degrees
Atoms (fractional coordinates):
Ta1 0.000 0.000 0.000
Cr1 0.520 0.520 0.000
Cr2 0.741 0.241 0.500
Ru1 0.263 0.763 0.500


What is the total magnetic moment in the second record?
0.00 Bohr magnetons per cell


Number 3 is which compound?
TaCr2Ru